4
Lattice="4.9706 0.0294 0.0497 -1.7448 4.6517 -0.0295 1.4809 2.4150 4.0827" Properties=species:S:1:pos:R:3 comment="CrTe2P | Alexandria | PBE | optimized geometry" raw_formation_energy_ev_per_fu=0.9 total_energy_ev_per_cell=-20.44 pbc="T T T"
Cr -0.1320 3.5333 2.0266
P 1.6129 2.3405 0.0101
Te 0.0000 0.0000 0.0000
Te 3.2258 1.2222 2.0662